The following is a DFT calculation (PBE) of a relaxed Pu2Cd6Hg3 crystal.

Lattice parameters (Å, degrees): 3.441 9.585 9.585 120.00 90.00 90.00
Last column: magnetic moment on the atom in μB.
Positions (direct):
Hg  0.500  0.000  0.586  0.01
Hg  0.500  0.414  0.414  0.01
Hg  0.500  0.586  0.000  0.01
Cd  0.000  0.000  0.824  -0.01
Cd  0.500  0.702  0.702  -0.01
Cd  0.500  0.298  0.000  -0.01
Cd  0.000  0.824  0.000  -0.01
Cd  0.500  0.000  0.298  -0.01
Cd  0.000  0.176  0.176  -0.01
Pu  0.000  0.333  0.667  5.65
Pu  0.000  0.667  0.333  5.65

Summary:
- DFT formation energy: 0.01 eV per atom
- Crystal system: hexagonal
- Symmetry: P-62m, No. 189